First-principles (PBE-GGA) data for crystalline CaAc2Al3Cd4 at its relaxed geometry, as listed in the Alexandria database.

Results
Formation enthalpy at 0 K   -0.258 eV per atom

a = 4.654 Å, b = 4.654 Å, c = 12.407 Å
α = 90.00°, β = 90.00°, γ = 90.00°
Space group P-4m2 (No. 115)
Asymmetric unit:
Ca1 0.000 0.000 0.000
Ac1 0.000 0.500 0.724
Al1 0.000 0.500 0.372
Al2 0.500 0.500 0.000
Cd1 0.000 0.000 0.500
Cd2 0.000 0.500 0.156
Cd3 0.500 0.500 0.500